[1]
## PrPRh2 (GGA-PBE)

Data for PrPRh2 after structural relaxation.

## Properties
- calculated formation energy (eV per atom) = -0.7469
- space-group type = No. 65
- N(E_F) (states/eV/atom) = 0.48

Unit cell a=4.0943 b=4.5794 c=4.5794 alpha=105.29 beta=90.00 gamma=90.00
Sites, in units of the cell vectors:
Pr1 0.0000 0.0000 0.0000
P1 0.5000 0.5000 0.5000
Rh1 0.5000 0.5000 0.0000
Rh2 0.5000 0.0000 0.5000


[2]
## PuPaCoS4 (GGA-PBE)

Data for PuPaCoS4 after structural relaxation.

## Properties
- raw total energy (Ry per atom) = -0.5968
- space-group type = No. 11
- N(E_F) (states/eV/atom) = 1.46

Unit cell a=6.3403 b=5.7351 c=7.6059 alpha=90.00 beta=106.57 gamma=90.00
Site moments in Bohr magnetons follow the coordinates.
Sites, in units of the cell vectors:
Pu1 0.7459 0.7500 0.9373  5.09
Pu2 0.2541 0.2500 0.0627  5.09
Pa1 0.7516 0.7500 0.4424  0.24
Pa2 0.2484 0.2500 0.5576  0.24
Co1 0.2368 0.7500 0.3153  -0.72
Co2 0.7632 0.2500 0.6847  -0.72
S1 0.0183 0.5099 0.7522  -0.07
S2 0.9817 0.0099 0.2478  -0.07
S3 0.9817 0.4901 0.2478  -0.07
S4 0.0183 0.9901 0.7522  -0.07
S5 0.4316 0.7500 0.1194  -0.09
S6 0.5684 0.2500 0.8806  -0.09
S7 0.4209 0.7500 0.6039  -0.04
S8 0.5791 0.2500 0.3961  -0.04


[3]
## Co2W (GGA-PBE)

Data for Co2W after structural relaxation.

## Properties
- calculated formation energy (eV per atom) = 0.0100
- space-group type = No. 194
- N(E_F) (states/eV/atom) = 1.55

Unit cell a=4.6753 b=4.6753 c=15.2827 alpha=90.00 beta=90.00 gamma=120.00
Site moments in Bohr magnetons follow the coordinates.
Sites, in units of the cell vectors:
Co1 0.6667 0.3333 0.1263  0.46
Co2 0.3333 0.6667 0.8737  0.46
Co3 0.3333 0.6667 0.6263  0.46
Co4 0.6667 0.3333 0.3737  0.46
Co5 0.0000 0.5000 0.0000  0.13
Co6 0.5000 0.5000 0.0000  0.13
Co7 0.5000 0.0000 0.0000  0.13
Co8 0.0000 0.5000 0.5000  0.13
Co9 0.5000 0.5000 0.5000  0.13
Co10 0.5000 0.0000 0.5000  0.13
Co11 0.3275 0.1638 0.2500  0.47
Co12 0.8362 0.1638 0.2500  0.47
Co13 0.8362 0.6725 0.2500  0.47
Co14 0.6725 0.8362 0.7500  0.47
Co15 0.1638 0.8362 0.7500  0.47
Co16 0.1638 0.3275 0.7500  0.47
W1 0.0000 0.0000 0.0909  0.01
W2 0.0000 0.0000 0.9091  0.01
W3 0.0000 0.0000 0.5909  0.01
W4 0.0000 0.0000 0.4091  0.01
W5 0.6667 0.3333 0.8440  0.02
W6 0.3333 0.6667 0.1560  0.02
W7 0.3333 0.6667 0.3440  0.02
W8 0.6667 0.3333 0.6560  0.02


[4]
## KNa2IrF6 (GGA-PBE)

Data for KNa2IrF6 after structural relaxation.

## Properties
- energy above the most stable polymorph in this dataset (meV/atom) = 159
- space-group type = No. 225

Unit cell a=6.3119 b=6.3119 c=6.3119 alpha=60.00 beta=60.00 gamma=60.00
Site moments in Bohr magnetons follow the coordinates.
Sites, in units of the cell vectors:
K1 0.5000 0.5000 0.5000  0.00
Na1 0.7500 0.7500 0.7500  0.00
Na2 0.2500 0.2500 0.2500  0.00
Ir1 0.0000 0.0000 0.0000  0.14
F1 0.2266 0.7734 0.2266  0.01
F2 0.7734 0.2266 0.2266  0.01
F3 0.7734 0.2266 0.7734  0.01
F4 0.2266 0.2266 0.7734  0.01
F5 0.7734 0.7734 0.2266  0.01
F6 0.2266 0.7734 0.7734  0.01